1:
Material: PmPrTeO2
Method: DFT, PBE
State: optimized geometry

Lattice parameters (Å, degrees): 4.0466 4.0466 7.4171 90.00 90.00 120.00
Positions (direct):
Pm (0.0000, 0.0000, 0.0000)
Pr (0.3333, 0.6667, 0.6031)
Te (0.6667, 0.3333, 0.2986)
O (0.0000, 0.0000, 0.6843)
O (0.3333, 0.6667, 0.9257)

---

2:
Material: PmPrTeO2
Method: DFT, PBE
State: optimized geometry

Lattice parameters (Å, degrees): 4.0463 4.0463 12.8492 90.00 90.00 90.00
Positions (direct):
Pm (0.0000, 0.0000, 0.0000)
Pm (0.5000, 0.5000, 0.5000)
Pr (0.0000, 0.0000, 0.6820)
Pr (0.5000, 0.5000, 0.1820)
Te (0.0000, 0.0000, 0.3405)
Te (0.5000, 0.5000, 0.8405)
O (0.0000, 0.5000, 0.0879)
O (0.0000, 0.5000, 0.5879)
O (0.5000, 0.0000, 0.0879)
O (0.5000, 0.0000, 0.5879)

---

The least stable of them is 1.

---

1:
Material: Rb2Pm2O5
Method: DFT, PBE
State: optimized geometry

Lattice parameters (Å, degrees): 4.4455 4.4455 9.3413 90.00 90.00 90.00
Positions (direct):
Rb (0.0000, 0.0000, 0.0000)
Rb (0.0000, 0.0000, 0.5000)
Pm (0.5000, 0.5000, 0.2341)
Pm (0.5000, 0.5000, 0.7659)
O (0.0000, 0.5000, 0.2909)
O (0.0000, 0.5000, 0.7091)
O (0.5000, 0.0000, 0.2909)
O (0.5000, 0.0000, 0.7091)
O (0.5000, 0.5000, 0.0000)

---

2:
Material: Rb2Pm2O5
Method: DFT, PBE
State: optimized geometry

Lattice parameters (Å, degrees): 4.4762 4.4762 7.9141 90.00 90.00 90.00
Positions (direct):
Rb (0.0000, 0.0000, 0.1951)
Rb (0.0000, 0.0000, 0.8049)
Pm (0.5000, 0.5000, 0.0000)
Pm (0.5000, 0.5000, 0.5000)
O (0.0000, 0.0000, 0.5000)
O (0.0000, 0.5000, 0.1814)
O (0.0000, 0.5000, 0.8186)
O (0.5000, 0.0000, 0.1814)
O (0.5000, 0.0000, 0.8186)

---

The least stable of them is 2.

---

1:
Material: Pm2Re2O5
Method: DFT, PBE
State: optimized geometry

Lattice parameters (Å, degrees): 4.0264 4.0264 6.7941 90.00 90.00 90.00
Positions (direct):
Pm (0.0000, 0.0000, 0.0000)
Pm (0.0000, 0.0000, 0.5000)
Re (0.5000, 0.5000, 0.1756)
Re (0.5000, 0.5000, 0.8244)
O (0.0000, 0.5000, 0.2398)
O (0.0000, 0.5000, 0.7602)
O (0.5000, 0.0000, 0.2398)
O (0.5000, 0.0000, 0.7602)
O (0.5000, 0.5000, 0.5000)

---

2:
Material: Pm2Re2O5
Method: DFT, PBE
State: optimized geometry

Lattice parameters (Å, degrees): 3.5416 3.5416 9.7637 90.00 90.00 90.00
Positions (direct):
Pm (0.0000, 0.0000, 0.2340)
Pm (0.0000, 0.0000, 0.7660)
Re (0.5000, 0.5000, 0.0000)
Re (0.5000, 0.5000, 0.5000)
O (0.0000, 0.0000, 0.0000)
O (0.0000, 0.5000, 0.3837)
O (0.0000, 0.5000, 0.6163)
O (0.5000, 0.0000, 0.3837)
O (0.5000, 0.0000, 0.6163)

---

The least stable of them is 2.

---

1:
Material: Pm2Sb2O5
Method: DFT, PBE
State: optimized geometry

Lattice parameters (Å, degrees): 3.8651 3.8651 9.7435 90.00 90.00 90.00
Positions (direct):
Pm (0.0000, 0.0000, 0.2439)
Pm (0.0000, 0.0000, 0.7561)
Sb (0.5000, 0.5000, 0.0000)
Sb (0.5000, 0.5000, 0.5000)
O (0.0000, 0.0000, 0.0000)
O (0.0000, 0.5000, 0.3668)
O (0.0000, 0.5000, 0.6332)
O (0.5000, 0.0000, 0.3668)
O (0.5000, 0.0000, 0.6332)

---

2:
Material: Pm2Sb2O5
Method: DFT, PBE
State: optimized geometry

Lattice parameters (Å, degrees): 4.2001 4.2001 7.5116 90.00 90.00 90.00
Positions (direct):
Pm (0.0000, 0.0000, 0.0000)
Pm (0.0000, 0.0000, 0.5000)
Sb (0.5000, 0.5000, 0.2217)
Sb (0.5000, 0.5000, 0.7783)
O (0.0000, 0.5000, 0.2827)
O (0.0000, 0.5000, 0.7173)
O (0.5000, 0.0000, 0.2827)
O (0.5000, 0.0000, 0.7173)
O (0.5000, 0.5000, 0.5000)

---

The least stable of them is 2.

---

1:
Material: Pm2Sc2O5
Method: DFT, PBE
State: optimized geometry

Lattice parameters (Å, degrees): 3.7699 3.7699 9.9182 90.00 90.00 90.00
Positions (direct):
Pm (0.0000, 0.0000, 0.2404)
Pm (0.0000, 0.0000, 0.7596)
Sc (0.5000, 0.5000, 0.0000)
Sc (0.5000, 0.5000, 0.5000)
O (0.0000, 0.0000, 0.5000)
O (0.0000, 0.5000, 0.1282)
O (0.0000, 0.5000, 0.8718)
O (0.5000, 0.0000, 0.1282)
O (0.5000, 0.0000, 0.8718)

---

2:
Material: Pm2Sc2O5
Method: DFT, PBE
State: optimized geometry

Lattice parameters (Å, degrees): 4.0510 4.0510 7.4203 90.00 90.00 90.00
Positions (direct):
Pm (0.0000, 0.0000, 0.0000)
Pm (0.0000, 0.0000, 0.5000)
Sc (0.5000, 0.5000, 0.2312)
Sc (0.5000, 0.5000, 0.7688)
O (0.0000, 0.5000, 0.2375)
O (0.0000, 0.5000, 0.7625)
O (0.5000, 0.0000, 0.2375)
O (0.5000, 0.0000, 0.7625)
O (0.5000, 0.5000, 0.5000)

---

The least stable of them is 1.

---

1:
Material: Pm2SiO4
Method: DFT, PBE
State: optimized geometry

Lattice parameters (Å, degrees): 6.7486 5.4712 10.2245 90.00 90.00 90.00
Positions (direct):
Pm (0.0300, 0.2500, 0.1877)
Pm (0.1135, 0.2500, 0.5502)
Pm (0.3865, 0.7500, 0.0502)
Pm (0.4700, 0.7500, 0.6877)
Pm (0.5300, 0.2500, 0.3123)
Pm (0.6135, 0.2500, 0.9498)
Pm (0.8865, 0.7500, 0.4498)
Pm (0.9700, 0.7500, 0.8123)
Si (0.1602, 0.2500, 0.8386)
Si (0.3398, 0.7500, 0.3386)
Si (0.6602, 0.2500, 0.6614)
Si (0.8398, 0.7500, 0.1614)
O (0.0330, 0.7500, 0.0568)
O (0.1522, 0.7500, 0.6166)
O (0.1962, 0.5043, 0.3697)
O (0.1962, 0.9957, 0.3697)
O (0.3038, 0.0043, 0.8697)
O (0.3038, 0.4957, 0.8697)
O (0.3478, 0.2500, 0.1166)
O (0.4670, 0.2500, 0.5568)
O (0.5330, 0.7500, 0.4432)
O (0.6522, 0.7500, 0.8834)
O (0.6962, 0.5043, 0.1303)
O (0.6962, 0.9957, 0.1303)
O (0.8038, 0.0043, 0.6303)
O (0.8038, 0.4957, 0.6303)
O (0.8478, 0.2500, 0.3834)
O (0.9670, 0.2500, 0.9432)

---

2:
Material: Pm2SiO4
Method: DFT, PBE
State: optimized geometry

Lattice parameters (Å, degrees): 5.7467 6.9296 10.5650 90.00 117.06 90.00
Positions (direct):
Pm (0.0105, 0.0132, 0.2068)
Pm (0.0105, 0.4868, 0.7068)
Pm (0.3226, 0.6494, 0.0671)
Pm (0.3226, 0.8506, 0.5671)
Pm (0.6774, 0.1494, 0.4329)
Pm (0.6774, 0.3506, 0.9329)
Pm (0.9895, 0.5132, 0.2932)
Pm (0.9895, 0.9868, 0.7932)
Si (0.3593, 0.1967, 0.1191)
Si (0.3593, 0.3033, 0.6191)
Si (0.6407, 0.6967, 0.3809)
Si (0.6407, 0.8033, 0.8809)
O (0.1259, 0.1380, 0.6298)
O (0.1259, 0.3620, 0.1298)
O (0.2563, 0.5239, 0.5388)
O (0.2563, 0.9761, 0.0388)
O (0.2791, 0.1826, 0.4456)
O (0.2791, 0.3174, 0.9456)
O (0.3125, 0.7417, 0.8187)
O (0.3125, 0.7583, 0.3187)
O (0.6875, 0.2417, 0.6813)
O (0.6875, 0.2583, 0.1813)
O (0.7209, 0.6826, 0.0544)
O (0.7209, 0.8174, 0.5544)
O (0.7437, 0.0239, 0.9612)
O (0.7437, 0.4761, 0.4612)
O (0.8741, 0.6380, 0.8702)
O (0.8741, 0.8620, 0.3702)

---

The least stable of them is 2.

---

1:
Material: Pm2Si2O7
Method: DFT, PBE
State: optimized geometry

Lattice parameters (Å, degrees): 6.7057 6.7572 12.1836 93.83 90.34 91.23
Positions (direct):
Pm (0.0536, 0.3258, 0.1176)
Pm (0.1193, 0.0814, 0.3613)
Pm (0.3355, 0.8254, 0.1055)
Pm (0.3632, 0.2481, 0.6278)
Pm (0.6368, 0.7519, 0.3722)
Pm (0.6645, 0.1746, 0.8945)
Pm (0.8807, 0.9186, 0.6387)
Pm (0.9464, 0.6742, 0.8824)
Si (0.1491, 0.6207, 0.3877)
Si (0.1542, 0.1544, 0.8826)
Si (0.3731, 0.7377, 0.5978)
Si (0.4882, 0.6740, 0.8265)
Si (0.5118, 0.3260, 0.1735)
Si (0.6269, 0.2623, 0.4022)
Si (0.8458, 0.8456, 0.1174)
Si (0.8509, 0.3793, 0.6123)
O (0.0005, 0.6643, 0.0817)
O (0.0016, 0.9950, 0.8163)
O (0.0290, 0.2341, 0.5655)
O (0.0749, 0.4185, 0.3202)
O (0.2267, 0.9189, 0.6206)
O (0.2426, 0.0936, 0.0000)
O (0.2909, 0.7694, 0.3175)
O (0.2922, 0.5727, 0.4974)
O (0.3031, 0.7169, 0.9082)
O (0.3427, 0.2179, 0.8101)
O (0.3627, 0.4867, 0.1268)
O (0.3737, 0.1384, 0.2096)
O (0.3929, 0.5887, 0.7002)
O (0.4186, 0.1705, 0.4437)
O (0.5814, 0.8295, 0.5563)
O (0.6071, 0.4113, 0.2998)
O (0.6263, 0.8616, 0.7904)
O (0.6373, 0.5133, 0.8732)
O (0.6573, 0.7821, 0.1899)
O (0.6969, 0.2831, 0.0918)
O (0.7078, 0.4273, 0.5026)
O (0.7091, 0.2306, 0.6825)
O (0.7574, 0.9064, 0.0000)
O (0.7733, 0.0811, 0.3794)
O (0.9251, 0.5815, 0.6798)
O (0.9710, 0.7659, 0.4345)
O (0.9984, 0.0050, 0.1837)
O (0.9995, 0.3357, 0.9183)

---

2:
Material: Pm2Si2O7
Method: DFT, PBE
State: optimized geometry

Lattice parameters (Å, degrees): 4.7116 11.1909 5.6907 90.00 95.51 90.00
Positions (direct):
Pm (0.1204, 0.1475, 0.4028)
Pm (0.1204, 0.3525, 0.9028)
Pm (0.8796, 0.6475, 0.0972)
Pm (0.8796, 0.8525, 0.5972)
Si (0.3609, 0.6119, 0.6407)
Si (0.3609, 0.8881, 0.1407)
Si (0.6391, 0.1119, 0.8593)
Si (0.6391, 0.3881, 0.3593)
O (0.1250, 0.6812, 0.4626)
O (0.1250, 0.8188, 0.9626)
O (0.2131, 0.5551, 0.8666)
O (0.2131, 0.9449, 0.3666)
O (0.3827, 0.2002, 0.7550)
O (0.3827, 0.2998, 0.2550)
O (0.5000, 0.0000, 0.0000)
O (0.5000, 0.5000, 0.5000)
O (0.6173, 0.7002, 0.7450)
O (0.6173, 0.7998, 0.2450)
O (0.7869, 0.0551, 0.6334)
O (0.7869, 0.4449, 0.1334)
O (0.8750, 0.1812, 0.0374)
O (0.8750, 0.3188, 0.5374)

---

The least stable of them is 2.

---

1:
Material: PmSmTeO2
Method: DFT, PBE
State: optimized geometry

Lattice parameters (Å, degrees): 4.0074 4.0074 12.7437 90.00 90.00 90.00
Positions (direct):
Pm (0.0000, 0.0000, 0.0000)
Pm (0.5000, 0.5000, 0.5000)
Sm (0.0000, 0.0000, 0.3193)
Sm (0.5000, 0.5000, 0.8193)
Te (0.0000, 0.0000, 0.6595)
Te (0.5000, 0.5000, 0.1595)
O (0.0000, 0.5000, 0.4094)
O (0.0000, 0.5000, 0.9094)
O (0.5000, 0.0000, 0.4094)
O (0.5000, 0.0000, 0.9094)

---

2:
Material: PmSmTeO2
Method: DFT, PBE
State: optimized geometry

Lattice parameters (Å, degrees): 3.9992 3.9992 7.3466 90.00 90.00 120.00
Positions (direct):
Pm (0.0000, 0.0000, 0.0000)
Sm (0.3333, 0.6667, 0.6047)
Te (0.6667, 0.3333, 0.3035)
O (0.0000, 0.0000, 0.6806)
O (0.3333, 0.6667, 0.9221)

---

The least stable of them is 2.